Material: K4Hf3MnP6O24
Method: DFT, PBE+U
State: optimized geometry

As for the final energy: -587.16 eV for the cell shown. Its space group is P2_1. For the density of states at the Fermi level, the calculation gives 0.00 states/eV/f.u.

Unit cell a=10.276 b=10.314 c=10.325 alpha=89.96 beta=90.00 gamma=90.00
Site moments in Bohr magnetons follow the coordinates.
Positions (direct):
O (0.479, 0.554, 0.245)  0.00
O (0.526, 0.041, 0.266)  0.00
O (0.697, 0.776, 0.555)  0.00
O (0.294, 0.515, 0.034)  0.00
O (0.745, 0.220, 0.302)  0.00
O (0.723, 0.667, 0.816)  0.00
O (0.853, 0.260, 0.088)  0.00
O (0.030, 0.795, 0.202)  0.01
O (0.549, 0.544, 0.475)  0.00
O (0.677, 0.993, 0.076)  0.01
O (0.265, 0.732, 0.207)  0.00
O (0.223, 0.333, 0.184)  0.00
O (0.937, 0.077, 0.234)  0.01
O (0.026, 0.959, 0.734)  0.00
O (0.499, 0.835, 0.142)  0.00
O (0.081, 0.405, 0.996)  0.00
O (0.979, 0.446, 0.755)  0.00
O (0.530, 0.205, 0.798)  0.01
O (0.511, 0.336, 0.347)  0.00
O (0.797, 0.713, 0.047)  0.01
O (0.761, 0.824, 0.324)  0.01
O (0.320, 0.473, 0.418)  0.00
O (0.412, 0.111, 0.492)  0.00
O (0.353, 0.740, 0.912)  0.00
O (0.440, 0.054, 0.042)  0.02
O (0.700, 0.006, 0.483)  0.00
O (0.590, 0.432, 0.727)  0.00
O (0.794, 0.485, 0.966)  0.00
O (0.649, 0.244, 0.582)  0.00
O (0.149, 0.756, 0.418)  0.00
O (0.820, 0.527, 0.582)  0.00
O (0.437, 0.923, 0.766)  0.01
O (0.200, 0.994, 0.517)  0.00
O (0.177, 0.007, 0.924)  0.01
O (0.245, 0.780, 0.698)  0.00
O (0.261, 0.176, 0.676)  0.01
O (0.999, 0.165, 0.858)  0.00
O (0.912, 0.889, 0.508)  0.00
O (0.090, 0.568, 0.273)  0.00
O (0.297, 0.287, 0.953)  0.01
O (0.197, 0.224, 0.445)  0.00
O (0.581, 0.595, 0.004)  0.00
O (0.049, 0.456, 0.525)  0.00
O (0.968, 0.313, 0.300)  0.00
O (0.468, 0.687, 0.700)  0.00
O (0.011, 0.664, 0.653)  0.00
O (0.765, 0.268, 0.793)  0.00
O (0.940, 0.946, 0.958)  0.02
P (0.038, 0.019, 0.874)  0.01
P (0.538, 0.981, 0.126)  0.01
P (0.964, 0.525, 0.628)  0.00
P (0.225, 0.381, 0.040)  0.00
P (0.769, 0.873, 0.462)  0.00
P (0.630, 0.285, 0.726)  0.01
P (0.377, 0.788, 0.771)  0.00
P (0.464, 0.475, 0.372)  0.00
P (0.877, 0.212, 0.229)  0.00
P (0.269, 0.127, 0.538)  0.00
P (0.130, 0.715, 0.274)  0.01
P (0.725, 0.619, 0.960)  0.00
K (0.431, 0.827, 0.426)  0.00
K (0.700, 0.958, 0.817)  0.00
K (0.200, 0.042, 0.183)  0.00
K (0.306, 0.433, 0.719)  0.00
K (0.061, 0.697, 0.943)  0.00
K (0.806, 0.567, 0.281)  0.00
K (0.931, 0.173, 0.574)  0.00
K (0.561, 0.303, 0.057)  0.00
Hf (0.414, 0.666, 0.087)  0.00
Hf (0.589, 0.159, 0.412)  0.00
Hf (0.914, 0.334, 0.913)  0.00
Hf (0.641, 0.607, 0.643)  0.00
Hf (0.089, 0.841, 0.588)  0.00
Hf (0.141, 0.393, 0.357)  0.00
Mn (0.852, 0.900, 0.144)  4.67
Mn (0.352, 0.100, 0.856)  4.67